Run a
Density functional theory data (PBE-GGA) for an optimized crystal structure of Y2CuW.

Its crystal system is orthorhombic.

Unit cell a=4.2153 b=5.7254 c=5.7254 alpha=41.44 beta=90.00 gamma=90.00
Element x y z (fractional)
Y (0.0000, 0.0000, 0.0000)
Y (0.5000, 0.2959, 0.2959)
Cu (0.5000, 0.5841, 0.5841)
W (0.0000, 0.7104, 0.7104)

---

Run b
Density functional theory data (PBE-GGA) for an optimized crystal structure of Y2CuW.

Its crystal system is monoclinic.

Unit cell a=5.1948 b=5.1948 c=3.2177 alpha=90.15 beta=90.15 gamma=90.08
Element x y z (fractional)
Y (0.0000, 0.5000, 0.0000)
Y (0.5000, 0.0000, 0.0000)
Cu (0.0000, 0.0000, 0.5000)
W (0.5000, 0.5000, 0.5000)

---

Run c
Density functional theory data (PBE-GGA) for an optimized crystal structure of Y2CuW.

Its crystal system is cubic.

Unit cell a=4.8785 b=4.8785 c=4.8785 alpha=60.00 beta=60.00 gamma=60.00
Element x y z (fractional)
Y (0.0000, 0.0000, 0.0000)
Y (0.2500, 0.2500, 0.2500)
Cu (0.5000, 0.5000, 0.5000)
W (0.7500, 0.7500, 0.7500)

---

Run d
Density functional theory data (PBE-GGA) for an optimized crystal structure of Y2CuW.

Its crystal system is monoclinic.

Unit cell a=4.9568 b=4.9568 c=6.0480 alpha=99.88 beta=99.88 gamma=36.59
Element x y z (fractional)
Y (0.2449, 0.2449, 0.2499)
Y (0.7551, 0.7551, 0.7501)
Cu (0.5000, 0.5000, 0.0000)
W (0.0000, 0.0000, 0.5000)

---

The least stable of them is run c.

---

Run a
Density functional theory data (PBE-GGA) for an optimized crystal structure of Y2CuW.

Its crystal system is orthorhombic.

Unit cell a=3.2945 b=3.3133 c=8.2306 alpha=90.00 beta=90.00 gamma=90.00
Element x y z (fractional)
Y (0.0000, 0.0000, 0.0000)
Y (0.5000, 0.5000, 0.3781)
Cu (0.5000, 0.5000, 0.7677)
W (0.0000, 0.0000, 0.6250)

---

Run b
Density functional theory data (PBE-GGA) for an optimized crystal structure of Y2CuW.

Its crystal system is tetragonal.

Unit cell a=10.2366 b=10.2366 c=10.2366 alpha=155.90 beta=155.90 gamma=34.35
Element x y z (fractional)
Y (0.1238, 0.6250, 0.9988)
Y (0.3750, 0.3738, 0.4988)
Y (0.6262, 0.1250, 0.0012)
Y (0.8750, 0.8762, 0.5012)
Cu (0.0000, 0.0000, 0.0000)
Cu (0.7500, 0.2500, 0.5000)
W (0.2500, 0.7500, 0.5000)
W (0.5000, 0.5000, 0.0000)

---

Run c
Density functional theory data (PBE-GGA) for an optimized crystal structure of Y2CuW.

Its crystal system is trigonal.

Unit cell a=9.9418 b=9.9418 c=9.9418 alpha=18.76 beta=18.76 gamma=18.76
Element x y z (fractional)
Y (0.0000, 0.0000, 0.0000)
Y (0.2216, 0.2216, 0.2216)
Cu (0.7447, 0.7447, 0.7447)
W (0.4738, 0.4738, 0.4738)

---

Run d
Density functional theory data (PBE-GGA) for an optimized crystal structure of Y2CuW.

Its crystal system is tetragonal.

Unit cell a=3.4075 b=3.4075 c=7.4599 alpha=90.00 beta=90.00 gamma=90.00
Element x y z (fractional)
Y (0.0000, 0.0000, 0.2479)
Y (0.0000, 0.0000, 0.7521)
Cu (0.5000, 0.5000, 0.5000)
W (0.5000, 0.5000, 0.0000)

---

The least stable of them is run b.

---

Run a
Density functional theory data (PBE-GGA) for an optimized crystal structure of YCu3W.

Its crystal system is cubic.

Unit cell a=4.6382 b=4.6382 c=4.6382 alpha=90.00 beta=90.00 gamma=90.00
Element x y z (fractional)
Y (0.0000, 0.0000, 0.0000)
Cu (0.0000, 0.0000, 0.5000)
Cu (0.0000, 0.5000, 0.0000)
Cu (0.5000, 0.0000, 0.0000)
W (0.5000, 0.5000, 0.5000)

---

Run b
Density functional theory data (PBE-GGA) for an optimized crystal structure of YCu3W.

Its crystal system is cubic.

Unit cell a=4.6874 b=4.6874 c=4.6874 alpha=90.00 beta=90.00 gamma=90.00
Element x y z (fractional)
Y (0.0000, 0.0000, 0.0000)
Cu (0.0000, 0.5000, 0.5000)
Cu (0.5000, 0.0000, 0.5000)
Cu (0.5000, 0.5000, 0.0000)
W (0.5000, 0.5000, 0.5000)

---

The least stable of them is run a.

---

Run a
Density functional theory data (PBE-GGA) for an optimized crystal structure of Y3CuW.

Its crystal system is cubic.

Unit cell a=5.1787 b=5.1787 c=5.1787 alpha=90.00 beta=90.00 gamma=90.00
Element x y z (fractional)
Y (0.0000, 0.0000, 0.5000)
Y (0.0000, 0.5000, 0.0000)
Y (0.5000, 0.0000, 0.0000)
Cu (0.0000, 0.0000, 0.0000)
W (0.5000, 0.5000, 0.5000)

---

Run b
Density functional theory data (PBE-GGA) for an optimized crystal structure of Y3CuW.

Its crystal system is cubic.

Unit cell a=5.3891 b=5.3891 c=5.3891 alpha=90.00 beta=90.00 gamma=90.00
Element x y z (fractional)
Y (0.0000, 0.0000, 0.5000)
Y (0.0000, 0.5000, 0.0000)
Y (0.5000, 0.0000, 0.0000)
Cu (0.5000, 0.5000, 0.5000)
W (0.0000, 0.0000, 0.0000)

---

The least stable of them is run a.

---

Run a
Density functional theory data (PBE-GGA) for an optimized crystal structure of ZnCu3W.

Its crystal system is cubic.

Unit cell a=4.2601 b=4.2601 c=4.2601 alpha=90.00 beta=90.00 gamma=90.00
Element x y z (fractional)
Zn (0.0000, 0.0000, 0.0000)
Cu (0.0000, 0.0000, 0.5000)
Cu (0.0000, 0.5000, 0.0000)
Cu (0.5000, 0.0000, 0.0000)
W (0.5000, 0.5000, 0.5000)

---

Run b
Density functional theory data (PBE-GGA) for an optimized crystal structure of ZnCu3W.

Its crystal system is cubic.

Unit cell a=4.7245 b=4.7245 c=4.7245 alpha=90.00 beta=90.00 gamma=90.00
Element x y z (fractional)
Zn (0.0000, 0.0000, 0.0000)
Cu (0.0000, 0.5000, 0.5000)
Cu (0.5000, 0.0000, 0.5000)
Cu (0.5000, 0.5000, 0.0000)
W (0.5000, 0.5000, 0.5000)

---

The least stable of them is run b.

---

Run a
Density functional theory data (PBE-GGA) for an optimized crystal structure of Zr3CuW.

Its crystal system is cubic.

Unit cell a=5.0792 b=5.0792 c=5.0792 alpha=90.00 beta=90.00 gamma=90.00
Element x y z (fractional)
Zr (0.0000, 0.0000, 0.5000)
Zr (0.0000, 0.5000, 0.0000)
Zr (0.5000, 0.0000, 0.0000)
Cu (0.5000, 0.5000, 0.5000)
W (0.0000, 0.0000, 0.0000)

---

Run b
Density functional theory data (PBE-GGA) for an optimized crystal structure of Zr3CuW.

Its crystal system is cubic.

Unit cell a=4.8113 b=4.8113 c=4.8113 alpha=90.00 beta=90.00 gamma=90.00
Element x y z (fractional)
Zr (0.0000, 0.0000, 0.5000)
Zr (0.0000, 0.5000, 0.0000)
Zr (0.5000, 0.0000, 0.0000)
Cu (0.0000, 0.0000, 0.0000)
W (0.5000, 0.5000, 0.5000)

---

The least stable of them is run a.